## i
Ac4Ru: optimized geometry, PBE.

Unit cell a=6.904 b=8.292 c=8.293 alpha=60.04 beta=90.00 gamma=90.00
Fractional coordinates of all 10 atoms:
Ac 0.750 0.834 0.832
Ac 0.771 0.332 0.337
Ac 0.250 0.166 0.168
Ac 0.250 0.666 0.168
Ac 0.229 0.668 0.663
Ac 0.271 0.168 0.663
Ac 0.750 0.334 0.832
Ac 0.729 0.832 0.337
Ru 0.000 0.500 0.000
Ru 0.500 0.000 0.000

## ii
Ac4Ru: optimized geometry, PBE.

Unit cell a=5.860 b=5.860 c=5.860 alpha=90.00 beta=90.00 gamma=90.00
Fractional coordinates of all 5 atoms:
Ru 0.500 0.500 0.500
Ac 0.000 0.000 0.000
Ac 0.500 0.000 0.500
Ac 0.000 0.500 0.500
Ac 0.500 0.500 0.000

Most stable: i

## i
Ac2SbRu: optimized geometry, PBE.

Unit cell a=4.197 b=5.291 c=5.291 alpha=90.00 beta=90.00 gamma=90.00
Fractional coordinates of all 4 atoms:
Sb 0.500 0.000 0.000
Ac 0.000 0.000 0.500
Ac 0.000 0.500 0.000
Ru 0.500 0.500 0.500

## ii
Ac2SbRu: optimized geometry, PBE.

Unit cell a=5.537 b=5.537 c=5.537 alpha=60.00 beta=60.00 gamma=60.00
Each line ends with the local moment (μB).
Fractional coordinates of all 4 atoms:
Sb 0.500 0.500 0.500  0.07
Ac 0.250 0.250 0.250  -0.04
Ac 0.750 0.750 0.750  -0.04
Ru 0.000 0.000 0.000  0.74

Most stable: i

## i
AcSb2Ru: optimized geometry, PBE.

Unit cell a=4.792 b=4.604 c=4.604 alpha=90.00 beta=90.00 gamma=90.00
Fractional coordinates of all 4 atoms:
Sb 0.000 0.000 0.500
Sb 0.000 0.500 0.000
Ac 0.500 0.000 0.000
Ru 0.500 0.500 0.500

## ii
AcSb2Ru: optimized geometry, PBE.

Unit cell a=3.487 b=3.487 c=7.994 alpha=90.00 beta=90.00 gamma=90.00
Fractional coordinates of all 4 atoms:
Sb 0.000 0.000 0.808
Sb 0.000 0.000 0.192
Ac 0.500 0.500 0.500
Ru 0.500 0.500 0.000

Most stable: ii

## i
AcSb2Ru: optimized geometry, PBE.

Unit cell a=4.523 b=4.523 c=10.616 alpha=90.00 beta=90.00 gamma=90.00
Fractional coordinates of all 8 atoms:
Ac 0.000 0.500 0.249
Ac 0.500 0.000 0.751
Sb 0.500 0.000 0.130
Sb 0.000 0.500 0.870
Sb 0.000 0.000 0.500
Sb 0.500 0.500 0.500
Ru 0.500 0.500 0.000
Ru 0.000 0.000 0.000

## ii
AcSb2Ru: optimized geometry, PBE.

Unit cell a=4.536 b=4.536 c=6.392 alpha=69.22 beta=69.22 gamma=60.00
Fractional coordinates of all 4 atoms:
Sb 0.782 0.782 0.655
Sb 0.218 0.218 0.345
Ac 0.000 0.000 0.000
Ru 0.500 0.500 0.500

Most stable: i

## i
AcSb3Ru: optimized geometry, PBE.

Unit cell a=6.378 b=6.235 c=6.809 alpha=90.00 beta=90.00 gamma=90.00
Fractional coordinates of all 10 atoms:
Ac 0.414 0.310 0.701
Ac 0.914 0.043 0.201
Sb 0.380 0.280 0.201
Sb 0.461 0.838 0.962
Sb 0.961 0.515 0.462
Sb 0.880 0.073 0.701
Sb 0.961 0.515 0.940
Sb 0.461 0.838 0.440
Ru 0.164 0.779 0.701
Ru 0.664 0.574 0.201

## ii
AcSb3Ru: optimized geometry, PBE.

Unit cell a=6.185 b=6.320 c=13.655 alpha=90.00 beta=90.00 gamma=90.00
Fractional coordinates of all 20 atoms:
Ac 0.750 0.505 0.697
Ac 0.250 0.495 0.303
Ac 0.750 0.005 0.303
Ac 0.250 0.995 0.697
Sb 0.000 0.250 0.500
Sb 0.500 0.750 0.500
Sb 0.000 0.750 0.500
Sb 0.500 0.250 0.500
Sb 0.250 0.097 0.945
Sb 0.750 0.903 0.055
Sb 0.250 0.597 0.055
Sb 0.750 0.403 0.945
Sb 0.250 0.485 0.799
Sb 0.750 0.515 0.201
Sb 0.250 0.985 0.201
Sb 0.750 0.015 0.799
Ru 0.500 0.250 0.093
Ru 0.000 0.750 0.907
Ru 0.500 0.750 0.907
Ru 0.000 0.250 0.093

Most stable: ii

## i
AcSiRu: optimized geometry, PBE.

Unit cell a=4.656 b=4.171 c=4.171 alpha=120.00 beta=90.00 gamma=90.00
Fractional coordinates of all 3 atoms:
Ru 0.167 0.667 0.333
Ac 0.666 0.333 0.667
Si 0.167 0.000 0.000

## ii
AcSiRu: optimized geometry, PBE.

Unit cell a=6.841 b=6.782 c=7.886 alpha=127.24 beta=90.00 gamma=90.00
Fractional coordinates of all 12 atoms:
Ac 0.381 0.299 0.695
Ac 0.881 0.701 0.805
Ac 0.619 0.701 0.305
Ac 0.119 0.299 0.195
Ru 0.109 0.862 0.556
Ru 0.609 0.138 0.944
Ru 0.891 0.138 0.444
Ru 0.391 0.862 0.056
Si 0.352 0.845 0.749
Si 0.852 0.155 0.751
Si 0.648 0.155 0.251
Si 0.148 0.845 0.249

## iii
AcSiRu: optimized geometry, PBE.

Unit cell a=4.291 b=4.291 c=7.643 alpha=90.00 beta=90.00 gamma=90.00
Fractional coordinates of all 6 atoms:
Ac 0.500 0.000 0.188
Ac 0.000 0.500 0.812
Si 0.500 0.000 0.652
Si 0.000 0.500 0.348
Ru 0.500 0.500 0.500
Ru 0.000 0.000 0.500

Most stable: iii

## i
AcSi3Ru: optimized geometry, PBE.

Unit cell a=5.670 b=8.024 c=8.974 alpha=90.74 beta=90.00 gamma=90.00
Fractional coordinates of all 20 atoms:
Ac 0.799 0.565 0.321
Ac 0.201 0.435 0.679
Ac 0.299 0.935 0.179
Ac 0.701 0.065 0.821
Si 0.320 0.325 0.330
Si 0.680 0.675 0.670
Si 0.820 0.175 0.170
Si 0.180 0.825 0.830
Si 0.356 0.720 0.473
Si 0.644 0.280 0.527
Si 0.856 0.780 0.027
Si 0.144 0.220 0.973
Si 0.685 0.948 0.454
Si 0.315 0.052 0.546
Si 0.185 0.552 0.046
Si 0.815 0.448 0.954
Ru 0.482 0.339 0.080
Ru 0.518 0.661 0.920
Ru 0.982 0.161 0.420
Ru 0.018 0.839 0.580

## ii
AcSi3Ru: optimized geometry, PBE.

Unit cell a=4.362 b=4.362 c=5.890 alpha=111.73 beta=111.73 gamma=90.00
Fractional coordinates of all 5 atoms:
Ac 0.003 0.003 0.006
Si 0.260 0.760 0.519
Si 0.760 0.260 0.519
Si 0.413 0.413 0.827
Ru 0.655 0.655 0.310

Most stable: ii

## i
AcSmZnRu: optimized geometry, PBE.

Unit cell a=4.228 b=4.476 c=5.845 alpha=90.00 beta=111.20 gamma=90.00
Fractional coordinates of all 4 atoms:
Ac 0.147 0.000 0.294
Sm 0.865 0.500 0.729
Zn 0.561 0.500 0.123
Ru 0.427 0.000 0.854

## ii
AcSmZnRu: optimized geometry, PBE.

Unit cell a=5.190 b=5.190 c=5.190 alpha=60.00 beta=60.00 gamma=60.00
Fractional coordinates of all 4 atoms:
Ru 0.750 0.750 0.750
Ac 0.500 0.500 0.500
Zn 0.250 0.250 0.250
Sm 0.000 0.000 0.000

Most stable: i

## i
Ac2Sn6Ru: optimized geometry, PBE.

Unit cell a=5.974 b=6.854 c=6.854 alpha=60.01 beta=90.00 gamma=90.00
Fractional coordinates of all 9 atoms:
Ac 0.798 0.667 0.667
Ac 0.202 0.333 0.333
Sn 0.296 0.347 0.826
Sn 0.296 0.826 0.826
Sn 0.296 0.826 0.347
Sn 0.704 0.653 0.174
Sn 0.704 0.174 0.174
Sn 0.704 0.174 0.653
Ru 0.000 0.000 0.000

## ii
Ac2Sn6Ru: optimized geometry, PBE.

Unit cell a=4.482 b=4.681 c=12.740 alpha=90.00 beta=100.13 gamma=90.00
Fractional coordinates of all 9 atoms:
Ac 0.328 0.000 0.657
Ac 0.996 0.000 0.991
Sn 0.718 0.000 0.437
Sn 0.215 0.500 0.431
Sn 0.099 0.500 0.199
Sn 0.603 0.000 0.207
Sn 0.454 0.500 0.908
Sn 0.880 0.500 0.760
Ru 0.774 0.500 0.549

Most stable: i

## i
AcSnRu: optimized geometry, PBE.

Unit cell a=4.838 b=5.529 c=6.506 alpha=101.21 beta=111.83 gamma=90.00
Fractional coordinates of all 6 atoms:
Ac 0.872 0.682 0.743
Ac 0.128 0.318 0.257
Sn 0.596 0.825 0.192
Sn 0.404 0.175 0.808
Ru 0.195 0.857 0.390
Ru 0.805 0.143 0.610

## ii
AcSnRu: optimized geometry, PBE.

Unit cell a=4.470 b=4.602 c=4.602 alpha=120.00 beta=90.00 gamma=90.00
Fractional coordinates of all 3 atoms:
Ru 0.166 0.667 0.333
Ac 0.667 0.333 0.667
Sn 0.167 0.000 0.000

Most stable: i

## i
AcSnRu: optimized geometry, PBE.

Unit cell a=5.036 b=7.445 c=8.018 alpha=90.00 beta=90.00 gamma=90.00
Fractional coordinates of all 12 atoms:
Ac 0.250 0.813 0.464
Ac 0.750 0.313 0.036
Ac 0.250 0.687 0.964
Ac 0.750 0.187 0.536
Sn 0.750 0.885 0.189
Sn 0.750 0.615 0.689
Sn 0.250 0.115 0.811
Sn 0.250 0.385 0.311
Ru 0.750 0.558 0.353
Ru 0.750 0.942 0.853
Ru 0.250 0.058 0.147
Ru 0.250 0.442 0.647

## ii
AcSnRu: optimized geometry, PBE.

Unit cell a=4.880 b=4.880 c=4.880 alpha=60.00 beta=60.00 gamma=60.00
Fractional coordinates of all 3 atoms:
Ru 0.250 0.250 0.250
Ac 0.500 0.500 0.500
Sn 0.000 0.000 0.000

Most stable: i

## i
Ac3SnRu: optimized geometry, PBE.

Unit cell a=5.658 b=5.658 c=5.658 alpha=90.00 beta=90.00 gamma=90.00
Fractional coordinates of all 5 atoms:
Ru 0.000 0.000 0.000
Ac 0.000 0.500 0.000
Ac 0.000 0.000 0.500
Ac 0.500 0.000 0.000
Sn 0.500 0.500 0.500

## ii
Ac3SnRu: optimized geometry, PBE.

Unit cell a=4.789 b=8.814 c=16.085 alpha=90.00 beta=90.00 gamma=90.00
Fractional coordinates of all 20 atoms:
Ac 0.250 0.310 0.506
Ac 0.750 0.778 0.206
Ac 0.750 0.548 0.874
Ac 0.750 0.048 0.626
Ac 0.750 0.690 0.494
Ac 0.250 0.952 0.374
Ac 0.250 0.810 0.994
Ac 0.750 0.278 0.294
Ac 0.250 0.722 0.706
Ac 0.250 0.222 0.794
Ac 0.750 0.190 0.006
Ac 0.250 0.452 0.126
Sn 0.750 0.938 0.836
Sn 0.250 0.062 0.164
Sn 0.750 0.438 0.664
Sn 0.250 0.562 0.336
Ru 0.250 0.401 0.944
Ru 0.250 0.901 0.556
Ru 0.750 0.099 0.444
Ru 0.750 0.599 0.056

Most stable: ii